DFT (PBEsol) results for crystalline Mg2ReBr at its relaxed geometry.

- offset from the most stable computed form (eV/atom) = 0.7067
- energy relative to the elements, uncorrected (kJ per mole of atoms) = 82.8
- D(E_F) (states/eV per atom) = 0.877
- crystal system = tetragonal
- symmetry = No. 122
- raw total energy (Ry/atom) = -0.279

a b c (Å): 5.967 5.967 5.967
angles (deg): 103.32 103.32 122.64
Element x y z (fractional)
Mg1 0.116 0.625 0.991
Mg2 0.375 0.366 0.491
Mg3 0.634 0.125 0.009
Mg4 0.875 0.884 0.509
Re1 0.250 0.750 0.500
Re2 0.500 0.500 0.000
Br1 0.000 0.000 0.000
Br2 0.750 0.250 0.500

DFT (PBEsol) results for crystalline Mg4ReBr at its relaxed geometry.

- energy relative to the elements, uncorrected (kJ per mole of atoms) = 64.4
- D(E_F) (states/eV per atom) = 0.041
- crystal system = cubic
- symmetry = No. 216
- raw total energy (Ry/atom) = -0.221

a b c (Å): 5.480 5.480 5.480
angles (deg): 60.00 60.00 60.00
Element x y z (fractional)
Mg1 0.123 0.123 0.123
Mg2 0.123 0.123 0.631
Mg3 0.123 0.631 0.123
Mg4 0.631 0.123 0.123
Re1 0.750 0.750 0.750
Br1 0.500 0.500 0.500